(1)
! PBE Ni, relaxed; values from VASP
! E_tot ... -5.47 eV per atom
! Energy above the lowest structure with this stoichiometry ... 0.09 eV/f.u.
! Size of the total moment ... 0.6 μB per formula unit
! Formation enthalpy at 0 K ... 0.09 eV per atom
&SYSTEM
  ibrav = 0, nat = 29, ntyp = 1
/
ATOMIC_SPECIES
Ni 58.69 Ni.upf
ATOMIC_POSITIONS crystal
Ni 0.000 0.000 0.000
Ni 0.000 0.000 0.643
Ni 0.000 0.190 0.375
Ni 0.000 0.375 0.190
Ni 0.000 0.407 0.684
Ni 0.000 0.643 0.000
Ni 0.000 0.684 0.407
Ni 0.185 0.810 0.810
Ni 0.190 0.000 0.375
Ni 0.190 0.375 0.000
Ni 0.277 0.593 0.593
Ni 0.316 0.316 0.723
Ni 0.316 0.723 0.316
Ni 0.357 0.357 0.357
Ni 0.375 0.000 0.190
Ni 0.375 0.190 0.000
Ni 0.407 0.000 0.684
Ni 0.407 0.684 0.000
Ni 0.593 0.277 0.593
Ni 0.593 0.593 0.277
Ni 0.625 0.625 0.815
Ni 0.625 0.815 0.625
Ni 0.643 0.000 0.000
Ni 0.684 0.000 0.407
Ni 0.684 0.407 0.000
Ni 0.723 0.316 0.316
Ni 0.810 0.185 0.810
Ni 0.810 0.810 0.185
Ni 0.815 0.625 0.625
CELL_PARAMETERS angstrom
-4.292 4.292 4.292
4.292 -4.292 4.292
4.292 4.292 -4.292



(2)
! PBE Ni, relaxed; values from VASP
! E_tot ... -5.21 eV per atom
! Energy above the lowest structure with this stoichiometry ... 0.35 eV/f.u.
! Size of the total moment ... 0.6 μB per formula unit
! Formation enthalpy at 0 K ... 0.35 eV per atom
&SYSTEM
  ibrav = 0, nat = 4, ntyp = 1
/
ATOMIC_SPECIES
Ni 58.69 Ni.upf
ATOMIC_POSITIONS crystal
Ni 0.000 0.000 0.143
Ni 0.000 0.000 0.857
Ni 0.500 0.500 0.357
Ni 0.500 0.500 0.643
CELL_PARAMETERS angstrom
2.438 0.000 0.000
0.000 2.438 0.000
0.000 0.000 7.827



(3)
! PBE Ni, relaxed; values from VASP
! E_tot ... -5.54 eV per atom
! Energy above the lowest structure with this stoichiometry ... 0.03 eV/f.u.
! Size of the total moment ... 0.6 μB per formula unit
! Formation enthalpy at 0 K ... 0.03 eV per atom
&SYSTEM
  ibrav = 0, nat = 4, ntyp = 1
/
ATOMIC_SPECIES
Ni 58.69 Ni.upf
ATOMIC_POSITIONS crystal
Ni 0.000 0.163 0.250
Ni 0.000 0.837 0.750
Ni 0.500 0.337 0.750
Ni 0.500 0.663 0.250
CELL_PARAMETERS angstrom
2.419 0.000 0.000
0.000 4.347 0.000
0.000 0.000 4.043



(4)
! PBE Ni, relaxed; values from VASP
! E_tot ... -5.16 eV per atom
! Energy above the lowest structure with this stoichiometry ... 0.40 eV/f.u.
! Size of the total moment ... 0.0 μB per formula unit
! Formation enthalpy at 0 K ... 0.40 eV per atom
&SYSTEM
  ibrav = 0, nat = 3, ntyp = 1
/
ATOMIC_SPECIES
Ni 58.69 Ni.upf
ATOMIC_POSITIONS crystal
Ni 0.000 0.000 0.000
Ni 0.333 0.667 0.667
Ni 0.667 0.333 0.333
CELL_PARAMETERS angstrom
2.690 0.000 0.000
-1.345 2.329 0.000
0.000 0.000 5.012



(5)
! PBE Ni, relaxed; values from VASP
! E_tot ... -5.48 eV per atom
! Energy above the lowest structure with this stoichiometry ... 0.09 eV/f.u.
! Size of the total moment ... 0.6 μB per formula unit
! Formation enthalpy at 0 K ... 0.09 eV per atom
&SYSTEM
  ibrav = 0, nat = 20, ntyp = 1
/
ATOMIC_SPECIES
Ni 58.69 Ni.upf
ATOMIC_POSITIONS crystal
Ni 0.050 0.125 0.800
Ni 0.058 0.942 0.442
Ni 0.125 0.800 0.050
Ni 0.192 0.192 0.192
Ni 0.200 0.550 0.375
Ni 0.300 0.450 0.875
Ni 0.308 0.808 0.692
Ni 0.375 0.200 0.550
Ni 0.442 0.058 0.942
Ni 0.450 0.875 0.300
Ni 0.550 0.375 0.200
Ni 0.558 0.558 0.558
Ni 0.625 0.700 0.950
Ni 0.692 0.308 0.808
Ni 0.700 0.950 0.625
Ni 0.800 0.050 0.125
Ni 0.808 0.692 0.308
Ni 0.875 0.300 0.450
Ni 0.942 0.442 0.058
Ni 0.950 0.625 0.700
CELL_PARAMETERS angstrom
6.019 0.000 0.000
0.000 6.019 0.000
0.000 0.000 6.019



(6)
! PBE Ni, relaxed; values from VASP
! E_tot ... -5.41 eV per atom
! Energy above the lowest structure with this stoichiometry ... 0.16 eV/f.u.
! Size of the total moment ... 0.5 μB per formula unit
! Formation enthalpy at 0 K ... 0.16 eV per atom
&SYSTEM
  ibrav = 0, nat = 9, ntyp = 1
/
ATOMIC_SPECIES
Ni 58.69 Ni.upf
ATOMIC_POSITIONS crystal
Ni 0.000 0.000 0.000
Ni 0.000 0.000 0.207
Ni 0.000 0.000 0.415
Ni 0.333 0.667 0.139
Ni 0.333 0.667 0.346
Ni 0.333 0.667 0.931
Ni 0.667 0.333 0.069
Ni 0.667 0.333 0.277
Ni 0.667 0.333 0.484
CELL_PARAMETERS angstrom
2.452 0.000 0.000
-1.226 2.124 0.000
0.000 0.000 29.153